1.
First-principles (PBE-GGA) data for an optimized crystal structure of ThMnGe2, as listed in Alexandria. Values from VASP.

```
&SYSTEM
  ibrav = 0, nat = 8, ntyp = 3
/
ATOMIC_SPECIES
Mn 54.94 Mn.upf
Th 232.04 Th.upf
Ge 72.64 Ge.upf
ATOMIC_POSITIONS angstrom
Mn 2.0973 2.3796 0.7039
Mn 2.0973 1.7624 7.2203
Th 0.0000 0.5979 2.4496
Th 0.0000 3.5441 5.4746
Ge 0.0000 2.0837 -0.5086
Ge 2.0973 2.9424 3.0094
Ge 2.0973 0.0000 0.0000
Ge 2.0973 1.1996 4.9148
CELL_PARAMETERS angstrom
4.1946 0.0000 0.0000
0.0000 4.1674 -1.0172
0.0000 -0.0253 8.9414
```

Calculated values
As for the space-group type: Cmmm, No. 65.


2.
First-principles (PBE-GGA) data for an optimized crystal structure of ThMn2Ge2, as listed in Alexandria. Values from VASP.

```
&SYSTEM
  ibrav = 0, nat = 5, ntyp = 3
/
ATOMIC_SPECIES
Th 232.04 Th.upf
Ge 72.64 Ge.upf
Mn 54.94 Mn.upf
ATOMIC_POSITIONS angstrom
Th 0.0000 0.0000 0.0000
Ge -6.7104 -0.1544 0.8438
Ge -4.0700 -0.0936 0.5118
Mn -2.8374 1.7828 -0.4555
Mn -2.4831 0.7437 2.1721
CELL_PARAMETERS angstrom
-5.7445 0.9151 -1.9497
-5.0359 -1.1631 3.3053
5.4599 2.7745 0.3610
```

Calculated values
The polymorph energy (0 for the lowest one) comes out at 0 meV/atom. As for the space-group type: I4/mmm, No. 139.


no.,calculated formation energy (eV/f.u.),calculated volume (A^3/atom)
1,-1.841,19.52
2,-2.296,17.63